GGA-PBE CdAsIrBr2, relaxed; crystal system = tetragonal
1.0
5.225 0.000 0.000
0.000 5.225 0.000
0.000 0.000 5.515
Cd As Ir Br
1 1 1 2
Direct
0.000 0.000 0.000
0.000 0.000 0.500
0.500 0.500 0.500
0.000 0.500 0.000
0.500 0.000 0.000

GGA-PBE CdAs2IrBr, relaxed; crystal system = tetragonal
1.0
4.799 0.000 0.000
0.000 4.799 0.000
0.000 0.000 5.486
Cd As Ir Br
1 2 1 1
Direct
0.000 0.000 0.000
0.000 0.500 0.500
0.500 0.000 0.500
0.500 0.500 0.500
0.500 0.500 0.000

GGA-PBE KCdAsBr2, relaxed; crystal system = tetragonal
1.0
6.051 0.000 0.000
0.000 6.051 0.000
0.000 0.000 6.422
K Cd As Br
1 1 1 2
Direct
0.000 0.000 0.000
0.500 0.500 0.500
0.000 0.000 0.500
0.000 0.500 0.000
0.500 0.000 0.000

GGA-PBE KCdAsBr2, relaxed; crystal system = tetragonal
1.0
5.845 0.000 0.000
0.000 5.845 0.000
0.000 0.000 5.260
K Cd As Br
1 1 1 2
Direct
0.000 0.000 0.000
0.500 0.500 0.500
0.500 0.500 0.000
0.000 0.500 0.500
0.500 0.000 0.500

GGA-PBE MgCdAs2Br, relaxed; crystal system = tetragonal
1.0
5.127 0.000 0.000
0.000 5.127 0.000
0.000 0.000 5.177
Mg Cd As Br
1 1 2 1
Direct
0.000 0.000 0.000
0.500 0.500 0.500
0.000 0.500 0.000
0.500 0.000 0.000
0.000 0.000 0.500

GGA-PBE MgCdAsBr2, relaxed; crystal system = tetragonal
1.0
5.111 0.000 0.000
0.000 5.111 0.000
0.000 0.000 5.651
Mg Cd As Br
1 1 1 2
Direct
0.000 0.000 0.000
0.500 0.500 0.500
0.000 0.000 0.500
0.000 0.500 0.000
0.500 0.000 0.000

Ρ per entry: 5.95 7.02 2.73 3.57 4.47 4.18 g/cm³
Distance to the lowest polymorph of the same formula per entry: 1056 0 702 0 0 0 meV per atom
Energy relative to the elements, uncorrected per entry: 124.9 36.7 18.9 -48.9 27.5 -20.0 kJ per mole of atoms